# Ti3CoP

A geometry-optimized Ti3CoP structure (PBE-GGA, Alexandria).

Unit cell a=4.4144 b=4.4144 c=4.4144 alpha=90.00 beta=90.00 gamma=90.00
Space group Pm-3m (No. 221)
Asymmetric unit:
Ti1 0.0000 0.0000 0.5000 [3 per cell]
Co1 0.0000 0.0000 0.0000 [1 per cell]
P1 0.5000 0.5000 0.5000 [1 per cell]

Properties
* total magnetic moment: 0.00 μB per atom
* VASP energy: -7.1419 eV per atom
* energy above the most stable polymorph in this dataset: 0.007 eV per atom
* density of states at the Fermi level: 2.96 states/eV/cell



# Pm9Ho4Cd11

A geometry-optimized Pm9Ho4Cd11 structure (PBE-GGA, Alexandria).

Unit cell a=16.0286 b=23.3422 c=3.5713 alpha=90.00 beta=90.00 gamma=90.00
Space group Cmmm (No. 65)
Asymmetric unit:
Pm1 0.0000 0.0000 0.0000 [2 per cell]
Pm2 0.1123 0.2390 0.0000 [8 per cell]
Pm3 0.1224 0.4144 0.0000 [8 per cell]
Ho1 0.1557 0.0920 0.0000 [8 per cell]
Cd1 0.0000 0.1342 0.5000 [4 per cell]
Cd2 0.0000 0.3313 0.5000 [4 per cell]
Cd3 0.0000 0.5000 0.5000 [2 per cell]
Cd4 0.2355 0.3205 0.5000 [8 per cell]
Cd5 0.2497 0.0000 0.5000 [4 per cell]

Properties
* total magnetic moment: 0.03 μB per atom
* VASP energy: -3.2045 eV per atom
* density of states at the Fermi level: 50.12 states/eV/cell



# CaSm6Dy6

A geometry-optimized CaSm6Dy6 structure (PBE-GGA, Alexandria).

Unit cell a=6.7657 b=6.7657 c=11.4029 alpha=90.00 beta=90.00 gamma=120.00
Space group P6/mmm (No. 191)
Asymmetric unit:
Ca1 0.0000 0.0000 0.0000 [1 per cell]
Sm1 0.0000 0.0000 0.3481 [2 per cell]
Sm2 0.3333 0.6667 0.0000 [2 per cell]
Sm3 0.3333 0.6667 0.5000 [2 per cell]
Dy1 0.0000 0.5000 0.2489 [6 per cell]

Properties
* total magnetic moment: 0.00 μB per atom
* VASP energy: -4.1933 eV per atom
* density of states at the Fermi level: 26.86 states/eV/cell



# La4Pm5Y4

A geometry-optimized La4Pm5Y4 structure (PBE-GGA, Alexandria).

Unit cell a=13.1774 b=13.1774 c=5.1834 alpha=90.00 beta=90.00 gamma=90.00
Space group I4/m (No. 87)
Asymmetric unit:
La1 0.0770 0.6162 0.0000 [8 per cell]
Pm1 0.0000 0.0000 0.0000 [2 per cell]
Pm2 0.0408 0.8105 0.5000 [8 per cell]
Y1 0.1532 0.2302 0.0000 [8 per cell]

Properties
* total magnetic moment: 0.00 μB per atom
* VASP energy: -5.3118 eV per atom
* density of states at the Fermi level: 42.72 states/eV/cell



# BeTeN2F

A geometry-optimized BeTeN2F structure (PBE-GGA, Alexandria).

Unit cell a=4.0868 b=4.0868 c=4.1312 alpha=90.00 beta=90.00 gamma=90.00
Space group P4/mmm (No. 123)
Asymmetric unit:
Be1 0.0000 0.0000 0.0000 [1 per cell]
Te1 0.5000 0.5000 0.5000 [1 per cell]
N1 0.0000 0.5000 0.5000 [2 per cell]
F1 0.5000 0.5000 0.0000 [1 per cell]

Properties
* total magnetic moment: 0.04 μB per atom
* VASP energy: -3.9773 eV per atom
* energy above the most stable polymorph in this dataset: 0.906 eV per atom
* density of states at the Fermi level: 2.01 states/eV/cell



# Cr2CdBr

A geometry-optimized Cr2CdBr structure (PBE-GGA, Alexandria).

Unit cell a=4.4771 b=4.4771 c=8.3629 alpha=90.00 beta=90.00 gamma=90.00
Space group I4/mmm (No. 139)
Asymmetric unit:
Cr1 0.0000 0.5000 0.2500 [4 per cell]
Cd1 0.0000 0.0000 0.0000 [2 per cell]
Br1 0.0000 0.0000 0.5000 [2 per cell]

Properties
* total magnetic moment: 2.24 μB per atom
* VASP energy: -4.7773 eV per atom
* energy above the most stable polymorph in this dataset: 0.435 eV per atom
* density of states at the Fermi level: 1.40 states/eV/cell



# Zr2NbIrPb

A geometry-optimized Zr2NbIrPb structure (PBE-GGA, Alexandria).

Unit cell a=5.5359 b=5.5359 c=5.0556 alpha=90.00 beta=90.00 gamma=90.00
Space group P4/mmm (No. 123)
Asymmetric unit:
Zr1 0.0000 0.5000 0.0000 [2 per cell]
Nb1 0.0000 0.0000 0.5000 [1 per cell]
Ir1 0.5000 0.5000 0.5000 [1 per cell]
Pb1 0.5000 0.5000 0.0000 [1 per cell]

Properties
* total magnetic moment: 0.59 μB per atom
* VASP energy: -6.2207 eV per atom
* density of states at the Fermi level: 8.24 states/eV/cell



# SiTcSb2I

A geometry-optimized SiTcSb2I structure (PBE-GGA, Alexandria).

Unit cell a=5.0418 b=5.0418 c=5.7905 alpha=90.00 beta=90.00 gamma=90.00
Space group P4/mmm (No. 123)
Asymmetric unit:
Si1 0.0000 0.0000 0.0000 [1 per cell]
Tc1 0.5000 0.5000 0.5000 [1 per cell]
Sb1 0.0000 0.5000 0.5000 [2 per cell]
I1 0.5000 0.5000 0.0000 [1 per cell]

Properties
* total magnetic moment: 0.00 μB per atom
* VASP energy: -4.2587 eV per atom
* energy above the most stable polymorph in this dataset: 0.000 eV per atom
* density of states at the Fermi level: 3.57 states/eV/cell